[1]
VASP calculation (GGA-PBE) on crystalline Tb8GeSb3Te4 at its relaxed geometry.

SG: R-3m (166)
E_tot (hartree per atom): -0.200

a = 8.7319 Å, b = 8.7584 Å, c = 8.7320 Å
α = 119.90°, β = 120.00°, γ = 90.00°
Positions (direct):
Tb1 0.7634 0.2696 0.0062
Sb1 0.5000 0.5000 0.0000
Tb2 0.7573 0.7304 0.9938
Te1 0.5000 0.0000 0.5000
Sb2 0.5000 0.5000 0.5000
Ge1 0.0000 0.5000 0.0000
Tb3 0.7634 0.2696 0.5268
Sb3 0.0000 0.5000 0.5000
Tb4 0.2366 0.7304 0.4732
Tb5 0.2366 0.7304 0.9938
Te2 0.5000 0.0000 0.0000
Tb6 0.7463 0.7389 0.4926
Te3 0.0000 0.0000 0.0000
Tb7 0.2427 0.2696 0.0062
Tb8 0.2537 0.2611 0.5074
Te4 0.0000 0.0000 0.5000

[2]
VASP calculation (GGA-PBE) on crystalline Tb4GeSbTe2 at its relaxed geometry.

SG: P2/m (10)
E_tot (hartree per atom): -0.200

a = 4.3253 Å, b = 7.5261 Å, c = 7.5537 Å
α = 109.20°, β = 90.00°, γ = 90.00°
Positions (direct):
Tb1 0.0000 0.7304 0.2253
Tb2 0.5000 0.7429 0.7688
Tb3 0.5000 0.2571 0.2312
Te1 0.0000 0.5000 0.5000
Sb1 0.0000 0.0000 0.0000
Ge1 0.5000 0.5000 0.0000
Tb4 0.0000 0.2696 0.7747
Te2 0.5000 0.0000 0.5000

[3]
VASP calculation (GGA-PBE) on crystalline Tc2Ge2Sb at its relaxed geometry.

SG: P4/mbm (127)
E_tot (hartree per atom): -0.248

a = 7.3196 Å, b = 7.3196 Å, c = 3.1307 Å
α = 90.00°, β = 90.00°, γ = 90.00°
Positions (direct):
Ge1 0.8608 0.3608 0.5000
Sb1 0.0000 0.0000 0.0000
Tc1 0.3478 0.8478 0.0000
Ge2 0.1392 0.6392 0.5000
Sb2 0.5000 0.5000 0.0000
Tc2 0.1522 0.3478 0.0000
Ge3 0.3608 0.1392 0.5000
Tc3 0.6522 0.1522 0.0000
Ge4 0.6392 0.8608 0.5000
Tc4 0.8478 0.6522 0.0000

[4]
VASP calculation (GGA-PBE) on crystalline Tc3GeSb at its relaxed geometry.

SG: Pm-3m (221)
E_tot (hartree per atom): -0.253

a = 4.5820 Å, b = 4.5820 Å, c = 4.5820 Å
α = 90.00°, β = 90.00°, γ = 90.00°
Positions (direct):
Tc1 0.0000 0.0000 0.5000
Sb1 0.5000 0.5000 0.5000
Tc2 0.5000 0.0000 0.0000
Tc3 0.0000 0.5000 0.0000
Ge1 0.0000 0.0000 0.0000

[5]
VASP calculation (GGA-PBE) on crystalline TcGe3Sb at its relaxed geometry.

SG: Pm-3m (221)
E_tot (hartree per atom): -0.195

a = 4.8781 Å, b = 4.8781 Å, c = 4.8781 Å
α = 90.00°, β = 90.00°, γ = 90.00°
Positions (direct):
Sb1 0.5000 0.5000 0.5000
Tc1 0.0000 0.0000 0.0000
Ge1 0.0000 0.0000 0.5000
Ge2 0.0000 0.5000 0.0000
Ge3 0.5000 0.0000 0.0000

[6]
VASP calculation (GGA-PBE) on crystalline Tc2GeSb at its relaxed geometry.

SG: P4/mmm (123)
E_tot (hartree per atom): -0.269

a = 3.1721 Å, b = 3.1721 Å, c = 6.3304 Å
α = 90.00°, β = 90.00°, γ = 90.00°
Positions (direct):
Tc1 0.0000 0.0000 0.2356
Sb1 0.5000 0.5000 0.5000
Ge1 0.5000 0.5000 0.0000
Tc2 0.0000 0.0000 0.7644

[7]
VASP calculation (GGA-PBE) on crystalline Tc2GeSb at its relaxed geometry.

SG: I4/mmm (139)
E_tot (hartree per atom): -0.241

a = 6.0184 Å, b = 6.0184 Å, c = 6.0184 Å
α = 52.21°, β = 143.75°, γ = 143.73°
Positions (direct):
Ge1 0.0000 0.0000 0.0000
Tc1 0.0000 0.2460 0.2460
Sb1 0.0000 0.5000 0.5000
Tc2 0.0000 0.7540 0.7540

[8]
VASP calculation (GGA-PBE) on crystalline Tc2GeSb at its relaxed geometry.

SG: I-42d (122)
E_tot (hartree per atom): -0.253

a = 4.1453 Å, b = 4.1453 Å, c = 9.3165 Å
α = 77.15°, β = 77.15°, γ = 90.00°
Positions (direct):
Ge1 0.2500 0.7500 0.5000
Tc1 0.5508 0.1250 0.2500
Tc2 0.8750 0.8008 0.7500
Tc3 0.1992 0.6250 0.2500
Ge2 0.5000 0.5000 0.0000
Sb1 0.0000 0.0000 0.0000
Tc4 0.3750 0.4492 0.7500
Sb2 0.7500 0.2500 0.5000

DOS at the Fermi energy values (in states/eV per cell) by entry order: 6.331, 1.581, 11.257, 5.139, 3.940, 3.245, 2.808, 15.618.